*one*
## LaNdSmHo (GGA-PBE)

Data for an optimized crystal structure of LaNdSmHo.

The calculation puts the total magnetization at 0.001 μB/f.u.

```
data_LaNdSmHo
_chemical_formula_sum 'La4 Nd4 Sm4 Ho4'
_symmetry_space_group_name_H-M 'F -4 3 m'
_symmetry_Int_Tables_number 216
_symmetry_space_group_name_Hall 'F -4 2 3'
_cell_length_a 8.203
_cell_length_b 8.203
_cell_length_c 8.203
_cell_angle_alpha 90.00
_cell_angle_beta 90.00
_cell_angle_gamma 90.00
loop_
_atom_site_label
_atom_site_type_symbol
_atom_site_fract_x
_atom_site_fract_y
_atom_site_fract_z
_atom_site_occupancy
La1 La 0.000 0.000 0.000 1
Nd1 Nd 0.000 0.000 0.500 1
Sm1 Sm 0.250 0.250 0.250 1
Ho1 Ho 0.250 0.250 0.750 1
```

*two*
## LaNdSmHo (GGA-PBE)

Data for an optimized crystal structure of LaNdSmHo.

The calculation puts the total magnetization at 0.000 μB/f.u.

```
data_LaNdSmHo
_chemical_formula_sum 'La1 Nd1 Sm1 Ho1'
_symmetry_space_group_name_H-M 'P 3 m 1'
_symmetry_Int_Tables_number 156
_cell_length_a 3.6587
_cell_length_b 3.6587
_cell_length_c 11.8342
_cell_angle_alpha 90.00
_cell_angle_beta 90.00
_cell_angle_gamma 120.00
loop_
_symmetry_equiv_pos_as_xyz
'x,y,z'
'-y,x-y,z'
'-x+y,-x,z'
'-y,-x,z'
'-x+y,y,z'
'x,x-y,z'
loop_
_atom_site_label
_atom_site_type_symbol
_atom_site_fract_x
_atom_site_fract_y
_atom_site_fract_z
_atom_site_occupancy
La1 La 0.0000 0.0000 0.0000 1
Nd1 Nd 0.6667 0.3333 0.7410 1
Sm1 Sm 0.3333 0.6667 0.4919 1
Ho1 Ho 0.6667 0.3333 0.2508 1
```

The relative energies come out as *one* 95; *two* 0, with values in meV/atom.